(1)
## TbEuRu (PBE)

Data for a geometry-optimized TbEuRu structure.

Computed properties:
ΔE_f ... -0.121 eV per atom
Magnetic moment ... 7.10 μB per formula unit
Density of states at the Fermi level ... 7.56 states/eV per cell
E ... -8.181 eV/atom

abc: 6.9689 6.9689 6.9689
angles: 151.09 151.09 41.34
With the nearest neighbours (Å) after each atom.
Element x y z (fractional)
Tb  0.0000  0.0000  0.0000  4 Ru 2.88
Eu  0.7434  0.7434  0.0000  4 Ru 3.08, 1 Tb 3.35
Ru  0.3859  0.3859  0.0000  4 Tb 2.88, 4 Eu 3.08



(2)
## Tl2InPbCl5 (PBE)

Data for a geometry-optimized Tl2InPbCl5 structure.

Computed properties:
Magnetic moment ... 0.00 μB per formula unit
Density of states at the Fermi level ... 0.00 states/eV per cell
Formation energy (no corrections) ... -1.005 eV per atom
E ... -3.273 eV/atom

abc: 9.4203 9.4203 16.5638
angles: 90.00 90.00 153.28
With the nearest neighbours (Å) after each atom.
Element x y z (fractional)
Tl  0.0516  0.9484  0.5000  6 Cl 3.21-3.36
Tl  0.1551  0.8449  0.0911  6 Cl 3.10-3.42
Tl  0.8449  0.1551  0.5911  6 Cl 3.10-3.42
Tl  0.9484  0.0516  0.0000  6 Cl 3.21-3.36
In  0.4462  0.5538  0.2761  4 Cl 2.92-3.25
In  0.5538  0.4462  0.7761  4 Cl 2.92-3.25
Pb  0.2585  0.7415  0.8668  6 Cl 2.87-2.97
Pb  0.7415  0.2585  0.3668  6 Cl 2.87-2.97
Cl  0.0986  0.9014  0.8973  1 Pb 2.97, 2 In 3.07, 1 Tl 3.24
Cl  0.2344  0.7656  0.4886  2 Pb 2.97
Cl  0.2588  0.7412  0.2516  2 Pb 2.91
Cl  0.4148  0.5852  0.8628  1 Pb 2.87, 1 In 2.92, 2 Tl 3.21
Cl  0.4642  0.5358  0.6070  4 Tl 3.10-3.23, 1 In 3.25
Cl  0.5358  0.4642  0.1070  4 Tl 3.10-3.23, 1 In 3.25
Cl  0.5852  0.4148  0.3628  1 Pb 2.87, 1 In 2.92, 2 Tl 3.21
Cl  0.7412  0.2588  0.7516  2 Pb 2.91
Cl  0.7656  0.2344  0.9886  2 Pb 2.97
Cl  0.9014  0.0986  0.3973  1 Pb 2.97, 2 In 3.07, 1 Tl 3.24



(3)
## TaBi2SbTe (PBE)

Data for a geometry-optimized TaBi2SbTe structure.

Computed properties:
Magnetic moment ... 0.00 μB per formula unit
Density of states at the Fermi level ... 7.89 states/eV per cell
Formation energy (no corrections) ... 1.691 eV per atom
E ... -3.685 eV/atom

abc: 5.6897 5.6897 5.5814
angles: 90.00 90.00 90.00
With the nearest neighbours (Å) after each atom.
Element x y z (fractional)
Ta  0.0000  0.0000  0.0000  8 Bi 3.99, 4 Sb 4.02
Bi  0.0000  0.5000  0.5000  2 Te 2.84
Bi  0.5000  0.0000  0.5000  2 Te 2.84
Sb  0.5000  0.5000  0.0000  2 Te 2.79
Te  0.5000  0.5000  0.5000  2 Sb 2.79, 4 Bi 2.84



(4)
## Bi3PSe2 (PBE)

Data for a geometry-optimized Bi3PSe2 structure.

Computed properties:
Magnetic moment ... 0.00 μB per formula unit
Density of states at the Fermi level ... 5.47 states/eV per cell
Formation energy (no corrections) ... -0.090 eV per atom
E ... -4.094 eV/atom

abc: 7.5165 7.5165 6.7938
angles: 100.25 100.25 114.53
With the nearest neighbours (Å) after each atom.
Element x y z (fractional)
Bi  0.0000  0.5000  0.5000  4 Se 3.00-3.05, 2 P 3.04
Bi  0.1524  0.3028  0.0007  2 P 2.86-2.89, 2 Se 2.96-3.09
Bi  0.3028  0.1524  0.5007  2 P 2.86-2.89, 2 Se 2.96-3.09
Bi  0.5000  0.0000  0.0000  4 Se 3.00-3.05, 2 P 3.04
Bi  0.6972  0.8476  0.4993  2 P 2.86-2.89, 2 Se 2.96-3.09
Bi  0.8476  0.6972  0.9993  2 P 2.86-2.89, 2 Se 2.96-3.09
P  0.0821  0.9179  0.7500  6 Bi 2.86-3.04
P  0.9179  0.0821  0.2500  6 Bi 2.86-3.04
Se  0.2431  0.7569  0.2500  6 Bi 2.96-3.25
Se  0.4128  0.5872  0.7500  6 Bi 3.00-3.21
Se  0.5872  0.4128  0.2500  6 Bi 3.00-3.21
Se  0.7569  0.2431  0.7500  6 Bi 2.96-3.25



(5)
## Nd4CdNi (PBE)

Data for a geometry-optimized Nd4CdNi structure.

Computed properties:
ΔE_f ... -0.243 eV per atom
Magnetic moment ... 0.00 μB per formula unit
Energy relative to the lowest polymorph listed for this composition ... 0.00 eV/f.u.
Density of states at the Fermi level ... 20.56 states/eV per cell
E ... -4.538 eV/atom

abc: 9.8681 9.8681 9.8681
angles: 60.00 60.00 60.00
With the nearest neighbours (Å) after each atom.
Element x y z (fractional)
Nd  0.1871  0.1871  0.8129  2 Cd 3.36, 2 Ni 3.57, 10 Nd 3.57-3.69
Nd  0.1871  0.8129  0.1871  2 Cd 3.36, 2 Ni 3.57, 10 Nd 3.57-3.69
Nd  0.1871  0.8129  0.8129  2 Cd 3.36, 2 Ni 3.57, 10 Nd 3.57-3.69
Nd  0.4020  0.4020  0.4020  3 Ni 2.87
Nd  0.4020  0.4020  0.7941  3 Ni 2.87
Nd  0.4020  0.7941  0.4020  3 Ni 2.87
Nd  0.5586  0.5586  0.9414  2 Ni 2.90
Nd  0.5586  0.9414  0.5586  2 Ni 2.90
Nd  0.5586  0.9414  0.9414  2 Ni 2.90
Nd  0.7941  0.4020  0.4020  3 Ni 2.87
Nd  0.8129  0.1871  0.1871  2 Cd 3.36, 2 Ni 3.57, 10 Nd 3.57-3.69
Nd  0.8129  0.1871  0.8129  2 Cd 3.36, 2 Ni 3.57, 10 Nd 3.57-3.69
Nd  0.8129  0.8129  0.1871  2 Cd 3.36, 2 Ni 3.57, 10 Nd 3.57-3.69
Nd  0.9414  0.5586  0.5586  2 Ni 2.90
Nd  0.9414  0.5586  0.9414  2 Ni 2.90
Nd  0.9414  0.9414  0.5586  2 Ni 2.90
Cd  0.1700  0.1700  0.1700  3 Cd 3.16, 6 Nd 3.36-3.54
Cd  0.1700  0.1700  0.4901  3 Cd 3.16, 6 Nd 3.36-3.54
Cd  0.1700  0.4901  0.1700  3 Cd 3.16, 6 Nd 3.36-3.54
Cd  0.4901  0.1700  0.1700  3 Cd 3.16, 6 Nd 3.36-3.54
Ni  0.1778  0.6074  0.6074  6 Nd 2.87-2.90
Ni  0.6074  0.1778  0.6074  6 Nd 2.87-2.90
Ni  0.6074  0.6074  0.1778  6 Nd 2.87-2.90
Ni  0.6074  0.6074  0.6074  6 Nd 2.87-2.90



(6)
## NdY2UO8 (PBE)

Data for a geometry-optimized NdY2UO8 structure.

Computed properties:
Magnetic moment ... 0.80 μB per formula unit
Density of states at the Fermi level ... 5.03 states/eV per cell
Formation energy (no corrections) ... -3.230 eV per atom
E ... -8.950 eV/atom

abc: 3.9229 5.3498 7.6567
angles: 90.00 90.00 90.00
With the nearest neighbours (Å) after each atom.
Element x y z (fractional)
Nd  0.0000  0.0000  0.0000  8 O 2.42-2.49
Y  0.5000  0.5000  0.2592  8 O 2.34-2.40
Y  0.5000  0.5000  0.7408  8 O 2.34-2.40
U  0.0000  0.0000  0.5000  8 O 2.14-2.32
O  0.0000  0.2429  0.2775  1 U 2.14, 2 Y 2.40
O  0.0000  0.2429  0.7225  1 U 2.14, 2 Y 2.40
O  0.0000  0.7571  0.2775  1 U 2.14, 2 Y 2.40
O  0.0000  0.7571  0.7225  1 U 2.14, 2 Y 2.40
O  0.5000  0.2311  0.5000  2 U 2.32, 2 Y 2.34, 1 O 2.47
O  0.5000  0.2657  0.0000  2 Y 2.35, 2 Nd 2.42, 1 O 2.51
O  0.5000  0.7343  0.0000  2 Y 2.35, 2 Nd 2.42, 1 O 2.51
O  0.5000  0.7689  0.5000  2 U 2.32, 2 Y 2.34, 1 O 2.47



(7)
## In2TcP (PBE)

Data for a geometry-optimized In2TcP structure.

Computed properties:
ΔE_f ... 0.438 eV per atom
Magnetic moment ... 0.00 μB per formula unit
Density of states at the Fermi level ... 3.77 states/eV per cell
E ... -4.875 eV/atom

abc: 4.6467 4.6467 3.4176
angles: 90.00 90.00 90.00
With the nearest neighbours (Å) after each atom.
Element x y z (fractional)
In  0.0000  0.5000  0.0000  4 Tc 2.88, 4 P 2.88
In  0.5000  0.0000  0.0000  4 Tc 2.88, 4 P 2.88
Tc  0.0000  0.0000  0.5000  8 In 2.88
P  0.5000  0.5000  0.5000  8 In 2.88



(8)
## Pm4SmEr (PBE)

Data for a geometry-optimized Pm4SmEr structure.

Computed properties:
ΔE_f ... 0.260 eV per atom
Magnetic moment ... 0.00 μB per formula unit
Energy relative to the lowest polymorph listed for this composition ... 1.19 eV/f.u.
Density of states at the Fermi level ... 9.55 states/eV per cell
E ... -4.454 eV/atom

abc: 6.6649 6.6649 6.6649
angles: 60.00 60.00 60.00
With the nearest neighbours (Å) after each atom.
Element x y z (fractional)
Pm  0.1255  0.1255  0.1255  6 Pm 3.32-3.35
Pm  0.1255  0.1255  0.6235  6 Pm 3.32-3.35
Pm  0.1255  0.6235  0.1255  6 Pm 3.32-3.35
Pm  0.6235  0.1255  0.1255  6 Pm 3.32-3.35
Sm  0.7500  0.7500  0.7500  12 Pm 3.91, 4 Er 4.08
Er  0.5000  0.5000  0.5000  12 Pm 3.91, 4 Sm 4.08



(9)
## Ba3Ce2PmSe6 (PBE)

Data for a geometry-optimized Ba3Ce2PmSe6 structure.

Computed properties:
Magnetic moment ... 2.70 μB per formula unit
Density of states at the Fermi level ... 17.41 states/eV per cell
Formation energy (no corrections) ... -1.882 eV per atom
E ... -5.489 eV/atom

abc: 7.6094 7.6094 7.8589
angles: 99.28 99.28 119.96
With the nearest neighbours (Å) after each atom.
Element x y z (fractional)
Ba  0.0000  0.0000  0.0000  6 Se 3.27-3.28
Ba  0.3335  0.6665  0.0000  6 Se 3.27-3.28
Ba  0.6665  0.3335  0.0000  6 Se 3.27-3.28
Ce  0.1667  0.8333  0.5000  6 Se 3.03
Ce  0.8333  0.1667  0.5000  6 Se 3.03
Pm  0.5000  0.5000  0.5000  6 Se 3.02
Se  0.0940  0.4263  0.2789  1 Pm 3.02, 2 Ce 3.03, 3 Ba 3.27-3.28
Se  0.2415  0.2415  0.7213  1 Pm 3.02, 2 Ce 3.03, 3 Ba 3.27-3.28
Se  0.4263  0.0940  0.2789  1 Pm 3.02, 2 Ce 3.03, 3 Ba 3.27-3.28
Se  0.5737  0.9060  0.7211  1 Pm 3.02, 2 Ce 3.03, 3 Ba 3.27-3.28
Se  0.7585  0.7585  0.2787  1 Pm 3.02, 2 Ce 3.03, 3 Ba 3.27-3.28
Se  0.9060  0.5737  0.7211  1 Pm 3.02, 2 Ce 3.03, 3 Ba 3.27-3.28



(10)
## VCd3W (PBE)

Data for a geometry-optimized VCd3W structure.

Computed properties:
ΔE_f ... 1.627 eV per atom
Magnetic moment ... 2.34 μB per formula unit
Energy relative to the lowest polymorph listed for this composition ... 0.00 eV/f.u.
Density of states at the Fermi level ... 8.22 states/eV per cell
E ... -3.336 eV/atom

abc: 5.2475 5.2475 5.2475
angles: 90.00 90.00 90.00
With the nearest neighbours (Å) after each atom.
Element x y z (fractional)
V  0.0000  0.0000  0.0000  12 Cd 3.71
Cd  0.0000  0.5000  0.5000  2 W 2.62
Cd  0.5000  0.0000  0.5000  2 W 2.62
Cd  0.5000  0.5000  0.0000  2 W 2.62
W  0.5000  0.5000  0.5000  6 Cd 2.62



(11)
## MnCr2HgN (PBE)

Data for a geometry-optimized MnCr2HgN structure.

Computed properties:
Magnetic moment ... 4.10 μB per formula unit
Density of states at the Fermi level ... 4.91 states/eV per cell
Formation energy (no corrections) ... 0.656 eV per atom
E ... -6.753 eV/atom

abc: 3.8081 3.8081 4.7781
angles: 90.00 90.00 90.00
With the nearest neighbours (Å) after each atom.
Element x y z (fractional)
Mn  0.0000  0.0000  0.0000  4 Hg 2.69
Cr  0.0000  0.5000  0.5000  2 N 1.90
Cr  0.5000  0.0000  0.5000  2 N 1.90
Hg  0.5000  0.5000  0.0000  2 N 2.39
N  0.5000  0.5000  0.5000  4 Cr 1.90